## A
Compound: TcP2PbO
Source: the Alexandria database
Functional: GGA-PBE
Structure: relaxed

Summary:
**ρ**: 5.6 g cm⁻³
**D(E_F)**: 3.4 states/eV/f.u.

Geometry as CIF:
```
data_TcP2PbO
_chemical_formula_sum 'Tc1 P2 Pb1 O1'
_cell_length_a 5.209
_cell_length_b 5.209
_cell_length_c 4.166
_cell_angle_alpha 90.00
_cell_angle_beta 90.00
_cell_angle_gamma 90.00
_symmetry_space_group_name_H-M 'P 4/m m m'
_symmetry_Int_Tables_number 123
_symmetry_space_group_name_Hall '-P 4 2'
loop_
_atom_site_label
_atom_site_type_symbol
_atom_site_fract_x
_atom_site_fract_y
_atom_site_fract_z
Tc1 Tc 0.000 0.000 0.000
P1 P 0.000 0.500 0.500
Pb1 Pb 0.500 0.500 0.500
O1 O 0.500 0.500 0.000
```


## B
Compound: TcP2PbO
Source: the Alexandria database
Functional: GGA-PBE
Structure: relaxed

Summary:
**ρ**: 6.5 g cm⁻³
**D(E_F)**: 3.4 states/eV/f.u.

Geometry as CIF:
```
data_TcP2PbO
_chemical_formula_sum 'Tc1 P2 Pb1 O1'
_cell_length_a 5.111
_cell_length_b 5.111
_cell_length_c 3.774
_cell_angle_alpha 90.00
_cell_angle_beta 90.00
_cell_angle_gamma 90.00
_symmetry_space_group_name_H-M 'P 4/m m m'
_symmetry_Int_Tables_number 123
_symmetry_space_group_name_Hall '-P 4 2'
loop_
_atom_site_label
_atom_site_type_symbol
_atom_site_fract_x
_atom_site_fract_y
_atom_site_fract_z
Tc1 Tc 0.000 0.000 0.000
P1 P 0.000 0.500 0.000
Pb1 Pb 0.500 0.500 0.500
O1 O 0.000 0.000 0.500
```


Preferred: B; penalty for the next structure: 1.422 eV/atom.


## A
Compound: TeP2PbO
Source: the Alexandria database
Functional: GGA-PBE
Structure: relaxed

Summary:
**ρ**: 5.7 g cm⁻³
**D(E_F)**: 4.8 states/eV/f.u.

Geometry as CIF:
```
data_TeP2PbO
_chemical_formula_sum 'Te1 P2 Pb1 O1'
_cell_length_a 5.377
_cell_length_b 5.377
_cell_length_c 4.173
_cell_angle_alpha 90.00
_cell_angle_beta 90.00
_cell_angle_gamma 90.00
_symmetry_space_group_name_H-M 'P 4/m m m'
_symmetry_Int_Tables_number 123
_symmetry_space_group_name_Hall '-P 4 2'
loop_
_atom_site_label
_atom_site_type_symbol
_atom_site_fract_x
_atom_site_fract_y
_atom_site_fract_z
Te1 Te 0.000 0.000 0.000
P1 P 0.000 0.500 0.500
Pb1 Pb 0.500 0.500 0.500
O1 O 0.500 0.500 0.000
```


## B
Compound: TeP2PbO
Source: the Alexandria database
Functional: GGA-PBE
Structure: relaxed

Summary:
**ρ**: 5.5 g cm⁻³
**D(E_F)**: 5.1 states/eV/f.u.

Geometry as CIF:
```
data_TeP2PbO
_chemical_formula_sum 'Te1 P2 Pb1 O1'
_cell_length_a 5.508
_cell_length_b 5.508
_cell_length_c 4.096
_cell_angle_alpha 90.00
_cell_angle_beta 90.00
_cell_angle_gamma 90.00
_symmetry_space_group_name_H-M 'P 4/m m m'
_symmetry_Int_Tables_number 123
_symmetry_space_group_name_Hall '-P 4 2'
loop_
_atom_site_label
_atom_site_type_symbol
_atom_site_fract_x
_atom_site_fract_y
_atom_site_fract_z
Te1 Te 0.000 0.000 0.000
P1 P 0.000 0.500 0.000
Pb1 Pb 0.500 0.500 0.500
O1 O 0.000 0.000 0.500
```


Preferred: B; penalty for the next structure: 0.365 eV/atom.


## A
Compound: TlPPbO2
Source: the Alexandria database
Functional: GGA-PBE
Structure: relaxed

Summary:
**ρ**: 7.8 g cm⁻³
**D(E_F)**: 4.4 states/eV/f.u.

Geometry as CIF:
```
data_TlPPbO2
_chemical_formula_sum 'Tl1 P1 Pb1 O2'
_cell_length_a 4.241
_cell_length_b 4.241
_cell_length_c 5.582
_cell_angle_alpha 90.00
_cell_angle_beta 90.00
_cell_angle_gamma 90.00
_symmetry_space_group_name_H-M 'P 4/m m m'
_symmetry_Int_Tables_number 123
_symmetry_space_group_name_Hall '-P 4 2'
loop_
_atom_site_label
_atom_site_type_symbol
_atom_site_fract_x
_atom_site_fract_y
_atom_site_fract_z
Tl1 Tl 0.000 0.000 0.000
P1 P 0.500 0.500 0.000
Pb1 Pb 0.500 0.500 0.500
O1 O 0.000 0.500 0.500
```


## B
Compound: TlPPbO2
Source: the Alexandria database
Functional: GGA-PBE
Structure: relaxed

Summary:
**ρ**: 8.1 g cm⁻³
**D(E_F)**: 4.3 states/eV/f.u.

Geometry as CIF:
```
data_TlPPbO2
_chemical_formula_sum 'Tl1 P1 Pb1 O2'
_cell_length_a 4.288
_cell_length_b 4.288
_cell_length_c 5.283
_cell_angle_alpha 90.00
_cell_angle_beta 90.00
_cell_angle_gamma 90.00
_symmetry_space_group_name_H-M 'P 4/m m m'
_symmetry_Int_Tables_number 123
_symmetry_space_group_name_Hall '-P 4 2'
loop_
_atom_site_label
_atom_site_type_symbol
_atom_site_fract_x
_atom_site_fract_y
_atom_site_fract_z
Tl1 Tl 0.000 0.000 0.000
P1 P 0.000 0.000 0.500
Pb1 Pb 0.500 0.500 0.500
O1 O 0.000 0.500 0.000
```


Preferred: A; penalty for the next structure: 0.186 eV/atom.